Record 1
Compound: Tb2ScIn4
Source: the Alexandria database
Functional: PBE
Structure: optimized geometry

Lattice parameters (Å, degrees): 5.361 5.361 8.718 107.91 107.91 90.00
Sites, in units of the cell vectors:
1 In 0.000 0.500 0.000
2 In 0.185 0.185 0.370
3 In 0.500 0.000 0.000
4 In 0.815 0.815 0.630
5 Tb 0.386 0.386 0.771
6 Tb 0.614 0.614 0.229
7 Sc 0.000 0.000 0.000

## Properties
The calculated volume is 225.61 Å³ per cell. Its magnetization is 0.150 μB/atom. Its mass density is 6.1 g cm⁻³. The calculation puts the polymorph energy (0 for the lowest one) at 424 meV per atom. The value obtained for the formation enthalpy at 0 K is 0.09 eV per atom.

Record 2
Compound: TbScIn
Source: the Alexandria database
Functional: PBE
Structure: optimized geometry

Lattice parameters (Å, degrees): 5.200 5.200 6.619 90.00 90.00 120.02
Sites, in units of the cell vectors:
1 In 0.667 0.833 0.750
2 In 0.333 0.167 0.250
3 Sc 0.667 0.833 0.250
4 Sc 0.333 0.167 0.750
5 Tb 0.000 0.500 0.500
6 Tb 0.000 0.500 0.000

## Properties
The calculated volume is 154.99 Å³ per cell. Its magnetization is 0.001 μB/atom. Its mass density is 6.8 g cm⁻³. The calculation puts the polymorph energy (0 for the lowest one) at 0 meV per atom. The value obtained for the formation enthalpy at 0 K is -0.37 eV per atom.

Record 3
Compound: TbSc5In3
Source: the Alexandria database
Functional: PBE
Structure: optimized geometry

Lattice parameters (Å, degrees): 6.369 8.849 8.848 120.00 90.00 90.00
Sites, in units of the cell vectors:
1 In 0.250 0.000 0.338
2 In 0.750 0.000 0.662
3 In 0.250 0.338 0.000
4 In 0.750 0.662 0.000
5 In 0.750 0.338 0.338
6 In 0.250 0.662 0.662
7 Sc 0.000 0.667 0.333
8 Sc 0.000 0.333 0.667
9 Sc 0.250 0.335 0.335
10 Sc 0.750 0.665 0.665
11 Sc 0.500 0.333 0.667
12 Sc 0.250 0.665 0.000
13 Sc 0.500 0.667 0.333
14 Sc 0.750 0.335 0.000
15 Sc 0.250 0.000 0.665
16 Sc 0.750 0.000 0.335
17 Tb 0.500 0.000 0.000
18 Tb 0.000 0.000 0.000

## Properties
The calculated volume is 431.84 Å³ per cell. Its magnetization is 0.004 μB/atom. Its mass density is 5.6 g cm⁻³. The value obtained for the formation enthalpy at 0 K is -0.37 eV per atom.

Record 4
Compound: Tb3ScIn3
Source: the Alexandria database
Functional: PBE
Structure: optimized geometry

Lattice parameters (Å, degrees): 5.454 8.966 8.966 120.00 90.00 90.00
Sites, in units of the cell vectors:
1 In 0.250 0.949 0.187
2 In 0.750 0.762 0.949
3 In 0.250 0.813 0.762
4 In 0.750 0.187 0.238
5 In 0.750 0.051 0.813
6 In 0.250 0.238 0.051
7 Tb 0.750 0.458 0.096
8 Tb 0.250 0.096 0.637
9 Tb 0.750 0.637 0.542
10 Tb 0.750 0.904 0.363
11 Tb 0.250 0.542 0.904
12 Tb 0.250 0.363 0.458
13 Sc 0.750 0.333 0.667
14 Sc 0.250 0.667 0.333

## Properties
The calculated volume is 379.71 Å³ per cell. Its magnetization is 0.000 μB/atom. Its mass density is 7.6 g cm⁻³. The value obtained for the formation enthalpy at 0 K is -0.22 eV per atom.

Record 5
Compound: Tb2ScIn
Source: the Alexandria database
Functional: PBE
Structure: optimized geometry

Lattice parameters (Å, degrees): 5.359 5.359 5.359 60.00 60.00 60.00
Sites, in units of the cell vectors:
1 Sc 0.500 0.500 0.500
2 In 0.000 0.000 0.000
3 Tb 0.250 0.250 0.250
4 Tb 0.750 0.750 0.750

## Properties
The calculated volume is 108.81 Å³ per cell. Its magnetization is 0.265 μB/atom. Its mass density is 7.3 g cm⁻³. The calculation puts the polymorph energy (0 for the lowest one) at 99 meV per atom. The value obtained for the formation enthalpy at 0 K is -0.16 eV per atom.

Record 6
Compound: Tb2ScIn
Source: the Alexandria database
Functional: PBE
Structure: optimized geometry

Lattice parameters (Å, degrees): 3.551 3.551 8.866 90.00 90.00 90.00
Sites, in units of the cell vectors:
1 Sc 0.500 0.500 0.500
2 Tb 0.000 0.000 0.759
3 Tb 0.000 0.000 0.241
4 In 0.500 0.500 0.000

## Properties
The calculated volume is 111.80 Å³ per cell. Its magnetization is 0.000 μB/atom. Its mass density is 7.1 g cm⁻³. The calculation puts the polymorph energy (0 for the lowest one) at 56 meV per atom. The value obtained for the formation enthalpy at 0 K is -0.21 eV per atom.

Record 7
Compound: TbScIn3
Source: the Alexandria database
Functional: PBE
Structure: optimized geometry

Lattice parameters (Å, degrees): 6.170 7.098 7.098 120.00 90.00 90.00
Sites, in units of the cell vectors:
1 Sc 0.500 0.000 0.000
2 Sc 0.000 0.000 0.000
3 In 0.750 0.198 0.802
4 In 0.750 0.198 0.396
5 In 0.750 0.604 0.802
6 In 0.250 0.802 0.198
7 In 0.250 0.802 0.604
8 In 0.250 0.396 0.198
9 Tb 0.750 0.666 0.334
10 Tb 0.250 0.334 0.666

## Properties
The calculated volume is 269.22 Å³ per cell. Its magnetization is 0.000 μB/atom. Its mass density is 6.8 g cm⁻³. The value obtained for the formation enthalpy at 0 K is -0.21 eV per atom.

Record 8
Compound: Tb6Sc3In
Source: the Alexandria database
Functional: PBE
Structure: optimized geometry

Lattice parameters (Å, degrees): 3.406 12.465 13.769 100.16 90.00 90.00
Sites, in units of the cell vectors:
1 Tb 0.250 0.256 0.696
2 Tb 0.750 0.744 0.304
3 Tb 0.750 0.775 0.716
4 Tb 0.750 0.812 0.077
5 Tb 0.250 0.507 0.312
6 Tb 0.250 0.188 0.923
7 Tb 0.250 0.881 0.527
8 Tb 0.250 0.656 0.885
9 Tb 0.750 0.344 0.115
10 Tb 0.750 0.119 0.473
11 Tb 0.250 0.225 0.284
12 Tb 0.750 0.493 0.688
13 Sc 0.750 0.627 0.502
14 Sc 0.250 0.373 0.498
15 Sc 0.750 0.073 0.100
16 Sc 0.250 0.578 0.095
17 Sc 0.750 0.422 0.905
18 Sc 0.250 0.927 0.900
19 In 0.250 0.967 0.277
20 In 0.750 0.033 0.723

## Properties
The calculated volume is 575.46 Å³ per cell. Its magnetization is 0.000 μB/atom. Its mass density is 6.9 g cm⁻³. The value obtained for the formation enthalpy at 0 K is 0.00 eV per atom.